The following is a GGA-PBE calculation of an optimized crystal structure of Zn5In, from the Alexandria database.

Lattice parameters (Å, degrees): 4.7288 2.7682 16.1096 90.00 90.00 90.00
Closest atoms and distances in Å follow each position.
Space group Amm2 (No. 38)
Asymmetric unit:
Zn 0.0000 0.0000 0.0000 x2  6 Zn 2.73-2.99, 4 In 2.96
Zn 0.0000 0.0000 0.2946 x2  8 Zn 2.77-2.79
Zn 0.0000 0.0000 0.6458 x2  12 Zn 2.73-3.01
Zn 0.5000 0.0000 0.1136 x2  10 Zn 2.75-2.99
Zn 0.5000 0.0000 0.7612 x2  10 Zn 2.75-3.01, 2 In 3.05
In 0.5000 0.0000 0.4298 x2  2 In 2.77, 6 Zn 2.96-3.05

Output
Its formation energy is 9.1 kJ/mol of atoms. The calculation puts the energy at -1.424 eV per atom.

The following is a GGA-PBE calculation of an optimized crystal structure of TbHfMgAl, from the Alexandria database.

Lattice parameters (Å, degrees): 7.0733 7.0733 7.0733 90.00 90.00 90.00
Closest atoms and distances in Å follow each position.
Space group F-43m (No. 216)
Asymmetric unit:
Tb 0.0000 0.0000 0.0000 x4  4 Mg 3.06, 4 Al 3.06
Hf 0.0000 0.0000 0.5000 x4  4 Al 3.06, 4 Mg 3.06
Mg 0.2500 0.2500 0.7500 x4  4 Hf 3.06, 4 Tb 3.06
Al 0.2500 0.2500 0.2500 x4  4 Hf 3.06, 4 Tb 3.06

Output
Its formation energy is -10.9 kJ/mol of atoms. The calculation puts the energy at -5.093 eV per atom.

The following is a GGA-PBE calculation of an optimized crystal structure of RbCoHg2Pb, from the Alexandria database.

Lattice parameters (Å, degrees): 5.2948 5.2948 4.9908 90.00 90.00 90.00
Closest atoms and distances in Å follow each position.
Space group P4/mmm (No. 123)
Asymmetric unit:
Rb 0.0000 0.0000 0.0000 x1  8 Hg 3.64, 4 Pb 3.74
Co 0.5000 0.5000 0.5000 x1  2 Pb 2.50, 4 Hg 2.65
Hg 0.0000 0.5000 0.5000 x2  2 Co 2.65
Pb 0.5000 0.5000 0.0000 x1  2 Co 2.50

Output
Its formation energy is 2.4 kJ/mol of atoms. The calculation puts the energy at -2.453 eV per atom.